The following is a DFT calculation (PBE) of LiZrNF2 after structural relaxation.

a b c (Å): 3.3579 3.3579 4.3483
angles (deg): 90.00 90.00 90.00
Last column: nearest neighbours and their distance in Å.
Sites, in units of the cell vectors:
Li1 0.0000 0.0000 0.0000  4 F 1.68
Zr1 0.5000 0.5000 0.5000  4 N 2.37
N1 0.0000 0.0000 0.5000  2 Li 2.17, 4 Zr 2.37
F1 0.0000 0.5000 0.0000  2 Li 1.68
F2 0.5000 0.0000 0.0000  2 Li 1.68

Calculated values
* E above lowest polymorph: 122 meV/atom
* density of states at the Fermi level: 0.22 states/eV/f.u.
* energy relative to the elements, uncorrected: -1.90 eV/atom

***

The following is a DFT calculation (PBE) of Tb7HgI12 after structural relaxation.

a b c (Å): 9.7987 9.7987 9.7987
angles (deg): 108.05 108.05 108.05
Last column: nearest neighbours and their distance in Å.
Sites, in units of the cell vectors:
Tb1 0.0000 0.0000 0.0000  6 I 3.11
Tb2 0.1726 0.4562 0.3852  1 Hg 2.89, 5 I 3.12-3.23
Tb3 0.3852 0.1726 0.4562  1 Hg 2.89, 5 I 3.12-3.23
Tb4 0.4562 0.3852 0.1726  1 Hg 2.89, 5 I 3.12-3.23
Tb5 0.5438 0.6148 0.8274  1 Hg 2.89, 5 I 3.12-3.23
Tb6 0.6148 0.8274 0.5438  1 Hg 2.89, 5 I 3.12-3.23
Tb7 0.8274 0.5438 0.6148  1 Hg 2.89, 5 I 3.12-3.23
Hg1 0.5000 0.5000 0.5000  6 Tb 2.89
I1 0.0244 0.1052 0.3437  3 Tb 3.11-3.14
I2 0.1052 0.3437 0.0244  3 Tb 3.11-3.14
I3 0.1879 0.5772 0.7268  3 Tb 3.12-3.23
I4 0.2732 0.8121 0.4228  3 Tb 3.12-3.23
I5 0.3437 0.0244 0.1052  3 Tb 3.11-3.14
I6 0.4228 0.2732 0.8121  3 Tb 3.12-3.23
I7 0.5772 0.7268 0.1879  3 Tb 3.12-3.23
I8 0.6563 0.9756 0.8948  3 Tb 3.11-3.14
I9 0.7268 0.1879 0.5772  3 Tb 3.12-3.23
I10 0.8121 0.4228 0.2732  3 Tb 3.12-3.23
I11 0.8948 0.6563 0.9756  3 Tb 3.11-3.14
I12 0.9756 0.8948 0.6563  3 Tb 3.11-3.14

Calculated values
* density of states at the Fermi level: 10.90 states/eV/f.u.
* energy relative to the elements, uncorrected: -1.15 eV/atom

***

The following is a DFT calculation (PBE) of ScZn2PdAu after structural relaxation.

a b c (Å): 5.3147 5.3147 8.3197
angles (deg): 90.00 90.00 132.81
Last column: nearest neighbours and their distance in Å.
Sites, in units of the cell vectors:
Sc1 0.0433 0.9567 0.7500  1 Pd 2.70, 2 Zn 3.00, 4 Au 3.00
Sc2 0.9567 0.0433 0.2500  1 Pd 2.70, 2 Zn 3.00, 4 Au 3.00
Zn1 0.2277 0.7723 0.0783  2 Zn 2.53, 2 Pd 2.61, 1 Au 2.73
Zn2 0.2277 0.7723 0.4217  2 Zn 2.53, 2 Pd 2.61, 1 Au 2.73
Zn3 0.7723 0.2277 0.5783  2 Zn 2.53, 2 Pd 2.61, 1 Au 2.73
Zn4 0.7723 0.2277 0.9217  2 Zn 2.53, 2 Pd 2.61, 1 Au 2.73
Pd1 0.3207 0.6793 0.7500  6 Zn 2.61-2.88, 1 Sc 2.70, 2 Au 2.72
Pd2 0.6793 0.3207 0.2500  6 Zn 2.61-2.88, 1 Sc 2.70, 2 Au 2.72
Au1 0.5000 0.5000 0.0000  2 Pd 2.72, 2 Zn 2.73, 4 Sc 3.00
Au2 0.5000 0.5000 0.5000  2 Pd 2.72, 2 Zn 2.73, 4 Sc 3.00

Calculated values
* ΔE_f: -0.504 eV per atom
* density of states at the Fermi level: 2.37 states/eV/f.u.

***

The following is a DFT calculation (PBE) of NiOsCl after structural relaxation.

a b c (Å): 4.1916 4.1916 4.1916
angles (deg): 60.00 60.00 60.00
Last column: nearest neighbours and their distance in Å.
Sites, in units of the cell vectors:
Ni1 0.0000 0.0000 0.0000  4 Cl 2.57, 4 Os 2.57
Os1 0.2500 0.2500 0.2500  4 Ni 2.57
Cl1 0.7500 0.7500 0.7500  4 Ni 2.57

Calculated values
* E above lowest polymorph: 937 meV/atom
* density of states at the Fermi level: 2.14 states/eV/f.u.
* energy relative to the elements, uncorrected: 1.51 eV/atom

***

The following is a DFT calculation (PBE) of TlCrRe2 after structural relaxation.

a b c (Å): 5.2140 5.2140 5.2140
angles (deg): 144.46 128.78 63.90
Last column: nearest neighbours and their distance in Å.
Sites, in units of the cell vectors:
Tl1 0.0000 0.0000 0.0000  8 Re 2.77-3.02, 2 Cr 2.77
Cr1 0.2559 0.7559 0.5000  6 Re 2.52-2.77, 2 Tl 2.77
Re1 0.4765 0.4765 0.0000  2 Cr 2.52, 2 Re 2.73, 4 Tl 2.77
Re2 0.7273 0.2273 0.5000  2 Re 2.73, 4 Cr 2.77, 4 Tl 2.89-3.02

Calculated values
* E above lowest polymorph: 311 meV/atom
* ΔE_f: 0.826 eV per atom
* density of states at the Fermi level: 3.91 states/eV/f.u.

***

The following is a DFT calculation (PBE) of SnBRuRh after structural relaxation.

a b c (Å): 6.6092 6.6092 6.6092
angles (deg): 28.41 28.41 28.41
Last column: nearest neighbours and their distance in Å.
Sites, in units of the cell vectors:
Sn1 0.0000 0.0000 0.0000  3 Rh 2.79, 3 Ru 2.81
B1 0.1668 0.1668 0.1668  3 Ru 2.16, 3 Rh 2.17
Ru1 0.5567 0.5567 0.5567  3 B 2.16
Rh1 0.7754 0.7754 0.7754  3 B 2.17

Calculated values
* E above lowest polymorph: 13 meV/atom
* ΔE_f: -0.201 eV per atom
* density of states at the Fermi level: 2.77 states/eV/f.u.

***

The following is a DFT calculation (PBE) of Nd5BiP4 after structural relaxation.

a b c (Å): 7.3860 7.3860 10.5232
angles (deg): 118.45 118.45 33.12
Last column: nearest neighbours and their distance in Å.
Sites, in units of the cell vectors:
Nd1 0.0000 0.0000 0.0000  6 P 2.98-3.00
Nd2 0.2065 0.2065 0.8160  5 P 2.90-2.99, 1 Bi 3.15
Nd3 0.3898 0.3898 0.6135  4 P 2.89-3.08, 2 Bi 3.19
Nd4 0.6102 0.6102 0.3865  4 P 2.89-3.08, 2 Bi 3.19
Nd5 0.7935 0.7935 0.1840  5 P 2.90-2.99, 1 Bi 3.15
Bi1 0.0000 0.0000 0.5000  6 Nd 3.15-3.19
P1 0.2024 0.2024 0.2942  6 Nd 2.89-3.08
P2 0.4024 0.4024 0.1004  6 Nd 2.90-2.99
P3 0.5976 0.5976 0.8996  6 Nd 2.90-2.99
P4 0.7976 0.7976 0.7058  6 Nd 2.89-3.08

Calculated values
* ΔE_f: -1.383 eV per atom
* density of states at the Fermi level: 2.08 states/eV/f.u.

***

The following is a DFT calculation (PBE) of Mg2Sc5ZnIr2 after structural relaxation.

a b c (Å): 10.9035 10.9035 3.5565
angles (deg): 90.00 90.00 90.00
Last column: nearest neighbours and their distance in Å.
Sites, in units of the cell vectors:
Mg1 0.1742 0.3258 0.0000  3 Ir 3.01-3.36, 6 Sc 3.22-3.30
Mg2 0.3258 0.8258 0.0000  3 Ir 3.01-3.36, 6 Sc 3.22-3.30
Mg3 0.6742 0.1742 0.0000  3 Ir 3.01-3.36, 6 Sc 3.22-3.30
Mg4 0.8258 0.6742 0.0000  3 Ir 3.01-3.36, 6 Sc 3.22-3.30
Sc1 0.0000 0.5000 0.5000  4 Ir 2.68
Sc2 0.0723 0.7993 0.5000  2 Ir 2.64, 2 Zn 2.93
Sc3 0.2007 0.0723 0.5000  2 Ir 2.64, 2 Zn 2.93
Sc4 0.2993 0.5723 0.5000  2 Ir 2.64, 2 Zn 2.93
Sc5 0.4277 0.2993 0.5000  2 Ir 2.64, 2 Zn 2.93
Sc6 0.5000 0.0000 0.5000  4 Ir 2.68
Sc7 0.5723 0.7007 0.5000  2 Ir 2.64, 2 Zn 2.93
Sc8 0.7007 0.4277 0.5000  2 Ir 2.64, 2 Zn 2.93
Sc9 0.7993 0.9277 0.5000  2 Ir 2.64, 2 Zn 2.93
Sc10 0.9277 0.2007 0.5000  2 Ir 2.64, 2 Zn 2.93
Zn1 0.0000 0.0000 0.0000  8 Sc 2.93
Zn2 0.5000 0.5000 0.0000  8 Sc 2.93
Ir1 0.1304 0.6304 0.0000  6 Sc 2.64-2.68
Ir2 0.3696 0.1304 0.0000  6 Sc 2.64-2.68
Ir3 0.6304 0.8696 0.0000  6 Sc 2.64-2.68
Ir4 0.8696 0.3696 0.0000  6 Sc 2.64-2.68

Calculated values
* ΔE_f: -0.481 eV per atom
* density of states at the Fermi level: 10.75 states/eV/f.u.